No. 1
{"formula": "TlZnCd2F8", "functional": "PBE", "state": "optimized geometry", "lattice": [[5.110, 0.000, 0.000], [0.000, 7.097, 0.000], [-0.021, 0.000, 5.202]], "species": ["Tl", "Zn", "Cd", "Cd", "F", "F", "F", "F", "F", "F", "F", "F"], "frac_coords": [[0.000, 0.000, 0.000], [0.000, 0.500, 0.000], [0.500, 0.264, 0.500], [0.500, 0.736, 0.500], [0.192, 0.281, 0.188], [0.192, 0.719, 0.188], [0.286, 0.500, 0.710], [0.317, 0.000, 0.680], [0.683, 0.000, 0.320], [0.714, 0.500, 0.290], [0.808, 0.281, 0.812], [0.808, 0.719, 0.812]], "e_tot_ev_per_atom": -3.79}


No. 2
{"formula": "ZnWAu2", "functional": "PBE", "state": "optimized geometry", "lattice": [[3.864, 0.000, 0.000], [0.000, 3.864, 0.000], [0.000, 0.000, 19.160]], "species": ["Zn", "Zn", "Zn", "Zn", "W", "W", "W", "W", "Au", "Au", "Au", "Au", "Au", "Au", "Au", "Au"], "frac_coords": [[0.000, 0.000, 0.000], [0.000, 0.500, 0.250], [0.500, 0.000, 0.750], [0.500, 0.500, 0.500], [0.000, 0.000, 0.500], [0.000, 0.500, 0.750], [0.500, 0.000, 0.250], [0.500, 0.500, 0.000], [0.249, 0.250, 0.125], [0.250, 0.749, 0.375], [0.250, 0.751, 0.875], [0.251, 0.250, 0.625], [0.749, 0.750, 0.625], [0.750, 0.249, 0.875], [0.750, 0.251, 0.375], [0.751, 0.750, 0.125]], "ef_mev_per_atom": 717}


No. 3
{"formula": "YZnSn2Au", "functional": "PBE", "state": "optimized geometry", "lattice": [[5.247, 0.000, 0.000], [0.000, 5.247, 0.000], [0.000, 0.000, 5.628]], "species": ["Y", "Zn", "Sn", "Sn", "Au"], "frac_coords": [[0.000, 0.000, 0.000], [0.500, 0.500, 0.000], [0.000, 0.500, 0.500], [0.500, 0.000, 0.500], [0.000, 0.000, 0.500]], "ef_mev_per_atom": 241}


No. 4
{"formula": "GeCS2", "functional": "PBE", "state": "optimized geometry", "lattice": [[5.732, 0.000, 0.000], [0.000, 5.732, 0.000], [0.000, 0.000, 8.605]], "species": ["Ge", "Ge", "Ge", "Ge", "C", "C", "C", "C", "S", "S", "S", "S", "S", "S", "S", "S"], "frac_coords": [[0.000, 0.000, 0.000], [0.000, 0.500, 0.250], [0.500, 0.000, 0.750], [0.500, 0.500, 0.500], [0.000, 0.000, 0.500], [0.000, 0.500, 0.750], [0.500, 0.000, 0.250], [0.500, 0.500, 0.000], [0.139, 0.250, 0.625], [0.250, 0.639, 0.875], [0.250, 0.861, 0.375], [0.361, 0.250, 0.125], [0.639, 0.750, 0.125], [0.750, 0.139, 0.375], [0.750, 0.361, 0.875], [0.861, 0.750, 0.625]], "e_above_lowest_polymorph_ev_per_atom": 0.382}


No. 5
{"formula": "Tl2Se", "functional": "PBE", "state": "optimized geometry", "lattice": [[4.362, 0.000, 0.000], [0.000, 14.046, 0.000], [0.000, 0.000, 6.709]], "species": ["Tl", "Tl", "Tl", "Tl", "Tl", "Tl", "Tl", "Tl", "Se", "Se", "Se", "Se"], "frac_coords": [[0.000, 0.025, 0.250], [0.000, 0.317, 0.250], [0.000, 0.683, 0.750], [0.000, 0.975, 0.750], [0.500, 0.183, 0.750], [0.500, 0.475, 0.750], [0.500, 0.525, 0.250], [0.500, 0.817, 0.250], [0.000, 0.339, 0.750], [0.000, 0.661, 0.250], [0.500, 0.161, 0.250], [0.500, 0.839, 0.750]], "e_above_lowest_polymorph_ev_per_atom": 0.056}


No. 6
{"formula": "Ca2PtPb2", "functional": "PBE", "state": "optimized geometry", "lattice": [[7.399, 0.000, 0.000], [0.000, 7.399, 0.000], [0.000, 0.000, 4.966]], "species": ["Ca", "Ca", "Ca", "Ca", "Pt", "Pt", "Pb", "Pb", "Pb", "Pb"], "frac_coords": [[0.167, 0.333, 0.000], [0.333, 0.833, 0.000], [0.667, 0.167, 0.000], [0.833, 0.667, 0.000], [0.000, 0.000, 0.500], [0.500, 0.500, 0.500], [0.147, 0.647, 0.500], [0.353, 0.147, 0.500], [0.647, 0.853, 0.500], [0.853, 0.353, 0.500]], "e_above_lowest_polymorph_ev_per_atom": 0.101, "ef_mev_per_atom": -487}


No. 7
{"formula": "FeSnOs", "functional": "PBE", "state": "optimized geometry", "lattice": [[2.838, 0.000, 0.000], [0.000, 2.853, 0.000], [0.000, 0.000, 11.594]], "species": ["Fe", "Fe", "Sn", "Sn", "Os", "Os"], "frac_coords": [[0.000, 0.000, 0.000], [0.000, 0.500, 0.500], [0.500, 0.000, 0.335], [0.500, 0.500, 0.835], [0.500, 0.000, 0.628], [0.500, 0.500, 0.128]], "ef_mev_per_atom": 351}


No. 8
{"formula": "MnHgSe", "functional": "PBE", "state": "optimized geometry", "lattice": [[3.929, 0.000, 0.000], [-1.964, 3.402, 0.000], [0.000, 0.000, 5.581]], "species": ["Mn", "Hg", "Se"], "frac_coords": [[0.000, 0.000, 0.000], [0.333, 0.667, 0.640], [0.667, 0.333, 0.197]], "e_above_lowest_polymorph_ev_per_atom": 0.066}


No. 9
{"formula": "Co2MoRh", "functional": "PBE", "state": "optimized geometry", "lattice": [[5.906, 0.000, 0.000], [0.000, 5.906, 0.000], [0.000, 0.000, 5.906]], "species": ["Co", "Co", "Co", "Co", "Co", "Co", "Co", "Co", "Mo", "Mo", "Mo", "Mo", "Rh", "Rh", "Rh", "Rh"], "frac_coords": [[0.250, 0.250, 0.250], [0.250, 0.250, 0.750], [0.250, 0.750, 0.250], [0.250, 0.750, 0.750], [0.750, 0.250, 0.250], [0.750, 0.250, 0.750], [0.750, 0.750, 0.250], [0.750, 0.750, 0.750], [0.000, 0.000, 0.000], [0.000, 0.500, 0.500], [0.500, 0.000, 0.500], [0.500, 0.500, 0.000], [0.000, 0.000, 0.500], [0.000, 0.500, 0.000], [0.500, 0.000, 0.000], [0.500, 0.500, 0.500]], "e_above_lowest_polymorph_ev_per_atom": 0.210, "ef_mev_per_atom": 171}


No. 10
{"formula": "Co2MoAs2", "functional": "PBE", "state": "optimized geometry", "lattice": [[6.911, 0.000, 0.000], [0.000, 6.911, 0.000], [0.000, 0.000, 2.786]], "species": ["Co", "Co", "Co", "Co", "Mo", "Mo", "As", "As", "As", "As"], "frac_coords": [[0.140, 0.360, 0.000], [0.360, 0.860, 0.000], [0.640, 0.140, 0.000], [0.860, 0.640, 0.000], [0.000, 0.000, 0.500], [0.500, 0.500, 0.500], [0.156, 0.656, 0.500], [0.344, 0.156, 0.500], [0.656, 0.844, 0.500], [0.844, 0.344, 0.500]], "ef_mev_per_atom": -4}


No. 11
{"formula": "NaCeP2", "functional": "PBE", "state": "optimized geometry", "lattice": [[4.274, 0.000, 0.000], [-2.137, 3.701, 0.000], [0.000, 0.000, 18.704]], "species": ["Na", "Na", "Na", "Ce", "Ce", "Ce", "P", "P", "P", "P", "P", "P"], "frac_coords": [[0.000, 0.000, 0.000], [0.333, 0.667, 0.667], [0.667, 0.333, 0.333], [0.000, 0.000, 0.500], [0.333, 0.667, 0.167], [0.667, 0.333, 0.833], [0.000, 0.000, 0.238], [0.000, 0.000, 0.762], [0.333, 0.667, 0.428], [0.333, 0.667, 0.905], [0.667, 0.333, 0.095], [0.667, 0.333, 0.572]], "e_above_lowest_polymorph_ev_per_atom": 0.000, "ef_mev_per_atom": -661}


No. 12
{"formula": "ScSiOs2", "functional": "PBE", "state": "optimized geometry", "lattice": [[2.883, 0.000, 0.000], [-1.441, 2.496, 0.000], [0.000, 0.000, 26.088]], "species": ["Sc", "Sc", "Sc", "Si", "Si", "Si", "Os", "Os", "Os", "Os", "Os", "Os"], "frac_coords": [[0.000, 0.000, 0.000], [0.333, 0.667, 0.667], [0.667, 0.333, 0.333], [0.000, 0.000, 0.241], [0.333, 0.667, 0.908], [0.667, 0.333, 0.574], [0.000, 0.000, 0.504], [0.000, 0.000, 0.755], [0.333, 0.667, 0.171], [0.333, 0.667, 0.421], [0.667, 0.333, 0.088], [0.667, 0.333, 0.838]], "e_tot_ev_per_atom": -8.45}


No. 13
{"formula": "CdTcRu2", "functional": "PBE", "state": "optimized geometry", "lattice": [[2.789, 0.000, 0.000], [-1.395, 2.415, 0.000], [0.000, 0.000, 27.548]], "species": ["Cd", "Cd", "Cd", "Tc", "Tc", "Tc", "Ru", "Ru", "Ru", "Ru", "Ru", "Ru"], "frac_coords": [[0.000, 0.000, 0.000], [0.333, 0.667, 0.667], [0.667, 0.333, 0.333], [0.000, 0.000, 0.500], [0.333, 0.667, 0.167], [0.667, 0.333, 0.833], [0.000, 0.000, 0.243], [0.000, 0.000, 0.757], [0.333, 0.667, 0.424], [0.333, 0.667, 0.910], [0.667, 0.333, 0.090], [0.667, 0.333, 0.576]], "ef_mev_per_atom": 161}


No. 14
{"formula": "GdTmAgAu", "functional": "PBE", "state": "optimized geometry", "lattice": [[7.219, 0.000, 0.000], [0.000, 7.219, 0.000], [0.000, 0.000, 7.219]], "species": ["Gd", "Gd", "Gd", "Gd", "Tm", "Tm", "Tm", "Tm", "Ag", "Ag", "Ag", "Ag", "Au", "Au", "Au", "Au"], "frac_coords": [[0.000, 0.000, 0.000], [0.000, 0.500, 0.500], [0.500, 0.000, 0.500], [0.500, 0.500, 0.000], [0.000, 0.000, 0.500], [0.000, 0.500, 0.000], [0.500, 0.000, 0.000], [0.500, 0.500, 0.500], [0.250, 0.250, 0.750], [0.250, 0.750, 0.250], [0.750, 0.250, 0.250], [0.750, 0.750, 0.750], [0.250, 0.250, 0.250], [0.250, 0.750, 0.750], [0.750, 0.250, 0.750], [0.750, 0.750, 0.250]], "ef_mev_per_atom": -586}


No. 15
{"formula": "Nd6Ho12Er", "functional": "PBE", "state": "optimized geometry", "lattice": [[6.620, 3.822, 4.210], [-6.620, 3.822, 4.210], [0.000, -7.644, 4.210]], "species": ["Nd", "Nd", "Nd", "Nd", "Nd", "Nd", "Ho", "Ho", "Ho", "Ho", "Ho", "Ho", "Ho", "Ho", "Ho", "Ho", "Ho", "Ho", "Er"], "frac_coords": [[0.157, 0.597, 0.597], [0.403, 0.403, 0.843], [0.403, 0.843, 0.403], [0.597, 0.157, 0.597], [0.597, 0.597, 0.157], [0.843, 0.403, 0.403], [0.000, 0.257, 0.743], [0.000, 0.743, 0.257], [0.145, 0.145, 0.418], [0.145, 0.418, 0.145], [0.257, 0.000, 0.743], [0.257, 0.743, 0.000], [0.418, 0.145, 0.145], [0.582, 0.855, 0.855], [0.743, 0.000, 0.257], [0.743, 0.257, 0.000], [0.855, 0.582, 0.855], [0.855, 0.855, 0.582], [0.500, 0.500, 0.500]], "e_above_lowest_polymorph_ev_per_atom": 0.091, "ef_mev_per_atom": 216}


No. 16
{"formula": "Ho7ErIn3", "functional": "PBE", "state": "optimized geometry", "lattice": [[5.636, -5.826, 0.000], [5.636, 5.826, 0.000], [-2.802, 0.000, 5.028]], "species": ["Ho", "Ho", "Ho", "Ho", "Ho", "Ho", "Ho", "Er", "In", "In", "In"], "frac_coords": [[0.000, 0.000, 0.000], [0.108, 0.531, 0.315], [0.328, 0.328, 0.834], [0.469, 0.892, 0.685], [0.531, 0.108, 0.315], [0.672, 0.672, 0.166], [0.892, 0.469, 0.685], [0.000, 0.000, 0.500], [0.265, 0.735, 0.000], [0.500, 0.500, 0.500], [0.735, 0.265, 0.000]], "ef_mev_per_atom": -17}


No. 17
{"formula": "TaAl4Cl", "functional": "PBE", "state": "optimized geometry", "lattice": [[0.000, 3.730, 3.730], [3.730, 0.000, 3.730], [3.730, 3.730, 0.000]], "species": ["Ta", "Al", "Al", "Al", "Al", "Cl"], "frac_coords": [[0.000, 0.000, 0.000], [0.375, 0.375, 0.375], [0.375, 0.375, 0.876], [0.375, 0.876, 0.375], [0.876, 0.375, 0.375], [0.750, 0.750, 0.750]], "e_tot_ev_per_atom": -4.62}


No. 18
{"formula": "BaNp2RhO8", "functional": "PBE", "state": "optimized geometry", "lattice": [[5.097, 0.000, 0.000], [0.291, 5.089, 0.000], [0.191, 0.178, 7.043]], "species": ["Ba", "Np", "Np", "Rh", "O", "O", "O", "O", "O", "O", "O", "O"], "frac_coords": [[0.000, 0.000, 0.000], [0.492, 0.492, 0.264], [0.508, 0.508, 0.736], [0.000, 0.000, 0.500], [0.213, 0.783, 0.700], [0.218, 0.788, 0.299], [0.301, 0.302, 0.496], [0.339, 0.341, 0.979], [0.661, 0.659, 0.021], [0.699, 0.698, 0.504], [0.782, 0.212, 0.701], [0.787, 0.217, 0.300]], "e_tot_ev_per_atom": -8.53}


No. 19
{"formula": "ZnCd2Te", "functional": "PBE", "state": "optimized geometry", "lattice": [[4.060, 0.000, 0.000], [0.000, 5.614, 0.000], [0.000, 0.000, 8.677]], "species": ["Zn", "Zn", "Cd", "Cd", "Cd", "Cd", "Te", "Te"], "frac_coords": [[0.000, 0.000, 0.000], [0.500, 0.500, 0.500], [0.000, 0.000, 0.492], [0.000, 0.500, 0.729], [0.500, 0.000, 0.229], [0.500, 0.500, 0.992], [0.000, 0.500, 0.269], [0.500, 0.000, 0.769]], "e_above_lowest_polymorph_ev_per_atom": 0.100}


No. 20
{"formula": "CeTm2Hf", "functional": "PBE", "state": "optimized geometry", "lattice": [[3.271, 0.000, 0.000], [-1.635, 2.833, 0.000], [0.000, 0.000, 35.395]], "species": ["Ce", "Ce", "Ce", "Tm", "Tm", "Tm", "Tm", "Tm", "Tm", "Hf", "Hf", "Hf"], "frac_coords": [[0.000, 0.000, 0.000], [0.333, 0.667, 0.667], [0.667, 0.333, 0.333], [0.000, 0.000, 0.413], [0.000, 0.000, 0.587], [0.333, 0.667, 0.079], [0.333, 0.667, 0.254], [0.667, 0.333, 0.746], [0.667, 0.333, 0.921], [0.000, 0.000, 0.500], [0.333, 0.667, 0.167], [0.667, 0.333, 0.833]], "e_above_lowest_polymorph_ev_per_atom": 0.216, "ef_mev_per_atom": 338}


We obtain volume values of 15.72, 17.88, 30.99, 17.67, 34.26, 27.19, 15.64, 24.87, 12.87, 13.30, 24.66, 15.65, 15.47, 23.51, 33.63, 30.02, 17.30, 15.23, 24.72, 27.33 A^3/atom for the records listed above, in that order.